# 1
PrGePd2: optimized geometry, PBE.

Results
formation enthalpy at 0 K = -0.627 eV per atom
N(E_F) = 1.735 states/eV/f.u.

abc: 4.2138 3.7821 5.5134
angles: 90.02 90.00 90.00
Element x y z (fractional)
Pd: 0.0000 0.9997 0.7507
Pr: 0.5000 0.5000 0.0000
Pd: 0.0000 0.0003 0.2493
Ge: 0.5000 0.0000 0.5000

# 2
TbSm2P3Rh12: optimized geometry, PBE.

Results
formation enthalpy at 0 K = -0.365 eV per atom
N(E_F) = 18.028 states/eV/f.u.

abc: 6.7392 6.7392 6.7392
angles: 83.93 83.93 83.93
Element x y z (fractional)
Rh: 0.3362 0.8216 0.8216
Sm: 0.3723 0.3723 0.3723
Rh: 0.1784 0.6638 0.1784
P: 0.0000 0.0000 0.5000
P: 0.5000 0.0000 0.0000
Tb: 0.0000 0.0000 0.0000
Rh: 0.3673 0.3673 0.9100
P: 0.0000 0.5000 0.0000
Rh: 0.6638 0.1784 0.1784
Rh: 0.8216 0.8216 0.3362
Rh: 0.6327 0.0900 0.6327
Rh: 0.3673 0.9100 0.3673
Rh: 0.9100 0.3673 0.3673
Rh: 0.6327 0.6327 0.0900
Rh: 0.1784 0.1784 0.6638
Rh: 0.8216 0.3362 0.8216
Sm: 0.6277 0.6277 0.6277
Rh: 0.0900 0.6327 0.6327

# 3
CuRh2Au: optimized geometry, PBE.

Results
formation enthalpy at 0 K = 0.111 eV per atom
N(E_F) = 5.078 states/eV/f.u.

abc: 9.0206 9.0206 9.0206
angles: 17.72 17.72 17.72
Each line ends with the local moment (μB).
Element x y z (fractional)
Rh: 0.0015 0.0015 0.0015  0.17
Rh: 0.2547 0.2547 0.2547  0.20
Au: 0.4970 0.4970 0.4970  0.01
Cu: 0.7468 0.7468 0.7468  0.01

# 4
Be2CuP: optimized geometry, PBE.

Results
formation enthalpy at 0 K = 0.263 eV per atom
N(E_F) = 1.061 states/eV/f.u.

abc: 2.4718 2.4718 7.1001
angles: 90.00 90.00 90.00
Element x y z (fractional)
P: 0.5000 0.5000 0.7618
Be: 0.5000 0.5000 0.2365
Cu: 0.0000 0.0000 0.4620
Be: 0.0000 0.0000 0.0397